First-principles (GGA-PBE) data for a relaxed structure of KScTlHg2, as listed in Alexandria.

a b c (Å): 5.6489 5.7296 5.6489
angles (deg): 90.00 90.00 90.00
With the nearest neighbours (Å) after each atom.
Atoms (fractional coordinates):
K (0.5000, 0.5000, 0.5000)  4 Tl 3.99, 8 Hg 4.02
Hg (0.5000, 0.0000, 0.0000)  2 Sc 2.82
Hg (0.0000, 0.0000, 0.5000)  2 Sc 2.82
Tl (0.0000, 0.5000, 0.0000)  2 Sc 2.86
Sc (0.0000, 0.0000, 0.0000)  4 Hg 2.82, 2 Tl 2.86

Results
DOS(E_F)	1.579	states/eV per atom
VASP energy	-2.04	eV/atom
E_form	44	meV per atom
crystal system	tetragonal
theoretical density	6.3	g cm⁻³
SG	No. 123


First-principles (GGA-PBE) data for a relaxed structure of KScZnHg2, as listed in Alexandria.

a b c (Å): 5.7629 5.5011 5.7629
angles (deg): 90.00 90.00 90.00
With the nearest neighbours (Å) after each atom.
Atoms (fractional coordinates):
K (0.0000, 0.0000, 0.0000)  2 Zn 2.75, 4 Hg 2.88
Sc (0.5000, 0.5000, 0.5000)  8 Hg 3.98, 4 Zn 4.08
Hg (0.0000, 0.0000, 0.5000)  2 K 2.88
Hg (0.5000, 0.0000, 0.0000)  2 K 2.88
Zn (0.0000, 0.5000, 0.0000)  2 K 2.75

Results
DOS(E_F)	1.388	states/eV per atom
VASP energy	-1.06	eV/atom
E_form	800	meV per atom
crystal system	tetragonal
theoretical density	5.0	g cm⁻³
SG	No. 123


First-principles (GGA-PBE) data for a relaxed structure of K2Hg3Se4, as listed in Alexandria.

a b c (Å): 7.4197 10.0820 10.0818
angles (deg): 117.68 89.52 89.52
With the nearest neighbours (Å) after each atom.
Atoms (fractional coordinates):
Hg (0.2500, 0.7010, 0.2990)  4 Se 2.69-2.76
Hg (0.7500, 0.2990, 0.7010)  4 Se 2.69-2.76
Hg (0.9334, 0.9723, 0.2825)  2 Se 2.50-2.51
Hg (0.0666, 0.0277, 0.7175)  2 Se 2.50-2.51
Hg (0.4334, 0.2825, 0.9723)  2 Se 2.50-2.51
Hg (0.5666, 0.7175, 0.0277)  2 Se 2.50-2.51
K (0.3906, 0.2326, 0.4321)  4 Se 3.24-3.52
K (0.8906, 0.4321, 0.2326)  4 Se 3.24-3.52
K (0.1094, 0.5679, 0.7674)  4 Se 3.24-3.52
K (0.6094, 0.7674, 0.5679)  4 Se 3.24-3.52
Se (0.4874, 0.1154, 0.6981)  2 Hg 2.51-2.69
Se (0.9161, 0.2507, 0.4356)  2 Hg 2.50-2.76
Se (0.5839, 0.5644, 0.7493)  2 Hg 2.50-2.76
Se (0.9874, 0.6981, 0.1154)  2 Hg 2.51-2.69
Se (0.0839, 0.7493, 0.5644)  2 Hg 2.50-2.76
Se (0.5126, 0.8846, 0.3019)  2 Hg 2.51-2.69
Se (0.0126, 0.3019, 0.8846)  2 Hg 2.51-2.69
Se (0.4161, 0.4356, 0.2507)  2 Hg 2.50-2.76

Results
VASP energy	-2.45	eV/atom
crystal system	monoclinic
ΔE to the lowest computed polymorph	0.0253	eV/atom
raw formation energy	-0.560	eV/atom
theoretical density	5.0	g cm⁻³
SG	No. 15


First-principles (GGA-PBE) data for a relaxed structure of KHg2Se, as listed in Alexandria.

a b c (Å): 5.8868 3.1865 5.9513
angles (deg): 89.93 90.00 90.00
With the nearest neighbours (Å) after each atom.
Atoms (fractional coordinates):
Hg (0.0000, 0.7504, 0.9968)  4 Hg 2.94-3.19, 2 Se 3.29
Hg (0.0000, 0.7496, 0.5032)  4 Hg 2.94-3.19, 2 Se 3.29
K (0.5000, 0.2500, 0.2500)  2 K 3.19, 4 Se 3.37-3.38
Se (0.5000, 0.7500, 0.7500)  2 Se 3.19, 4 Hg 3.29, 4 K 3.37-3.38

Results
DOS(E_F)	0.349	states/eV per atom
VASP energy	-1.60	eV/atom
crystal system	monoclinic
ΔE to the lowest computed polymorph	0.0960	eV/atom
raw formation energy	-0.299	eV/atom
theoretical density	7.7	g cm⁻³
SG	No. 10